A relaxed structure of Ce2Co3Si5. Source: Alexandria, functional PBE.

Values from the calculation:
E   -6.8043 eV per atom
V   15.3 Å³ per atom
Formation energy from raw total energies   -0.774 eV per atom

Structure (extended XYZ):
```
20
Lattice="7.928 -0.007 -0.005 0.070 7.927 0.005 -2.067 -5.911 4.862" Properties=species:S:1:pos:R:3 pbc="T T T"
Co -0.499 0.504 1.217
Co 4.698 -2.567 2.991
Co 2.341 -0.187 4.299
Co 3.590 2.196 0.563
Co 1.233 4.576 1.870
Co -1.498 1.512 3.650
Si 5.556 -1.358 1.212
Si 0.714 0.954 3.159
Si 5.217 1.056 1.703
Si 0.108 6.215 0.730
Si 4.557 -0.349 3.645
Si 0.375 3.367 3.650
Si 5.823 -4.206 4.132
Si 2.431 -2.455 3.645
Si 1.374 2.359 1.217
Si 3.500 4.464 1.217
Ce 3.326 2.532 3.576
Ce 2.605 -0.523 1.286
Ce -0.501 -1.602 3.719
Ce 6.432 3.611 1.143
```

=====

A relaxed structure of InHg4Pb6. Source: Alexandria, functional PBE.

Values from the calculation:
DFT formation energy   0.077 eV per atom
E   -2.3040 eV per atom
V   29.8 Å³ per atom

Structure (extended XYZ):
```
11
Lattice="6.265 0.000 0.000 0.000 6.265 0.000 -3.133 -3.133 8.364" Properties=species:S:1:pos:R:3 pbc="T T T"
Pb 1.874 4.391 3.071
Pb 3.133 0.000 0.000
Pb -1.258 -1.258 5.294
Pb 0.000 3.133 0.000
Pb 1.258 1.258 5.294
Pb 4.391 1.874 3.071
Hg 5.117 5.117 2.153
Hg 1.148 1.148 2.153
Hg 1.984 -1.984 6.212
Hg -1.984 1.984 6.212
In 3.133 3.133 0.000
```

=====

A relaxed structure of Re6Ni7. Source: Alexandria, functional PBE.

Values from the calculation:
DFT formation energy   0.026 eV per atom
E   -8.8327 eV per atom
V   12.5 Å³ per atom

Structure (extended XYZ):
```
13
Lattice="-7.336 -4.628 2.236 -7.056 -4.952 -2.434 -4.456 -7.766 0.271" Properties=species:S:1:pos:R:3 pbc="T T T"
Re -17.940 -16.510 0.070
Re -6.282 -5.782 0.024
Re -12.566 -11.564 0.049
Re -16.009 -14.733 0.062
Re -2.840 -2.614 0.011
Re -0.908 -0.836 0.004
Ni -11.404 -9.423 1.159
Ni -7.586 -7.760 1.273
Ni -9.424 -8.673 0.037
Ni -8.899 -6.339 -0.094
Ni -11.263 -9.587 -1.199
Ni -9.950 -11.007 0.167
Ni -7.445 -7.923 -1.086
```

=====

A relaxed structure of LiNbAg2. Source: Alexandria, functional PBE.

Values from the calculation:
DFT formation energy   0.288 eV per atom
E   -4.1338 eV per atom
Excess energy over the best structure of this formula in the dataset   0.000 eV per formula unit
V   17.1 Å³ per atom

Structure (extended XYZ):
```
4
Lattice="0.000 3.249 3.249 3.249 0.000 3.249 3.249 3.249 0.000" Properties=species:S:1:pos:R:3 pbc="T T T"
Li 0.000 0.000 0.000
Ag 1.624 1.624 1.624
Ag 4.873 4.873 4.873
Nb 3.249 3.249 3.249
```

=====

A relaxed structure of Sr2ZrNi. Source: Alexandria, functional PBE.

Values from the calculation:
DFT formation energy   0.686 eV per atom
E   -3.7375 eV per atom
Excess energy over the best structure of this formula in the dataset   2.364 eV per formula unit
V   28.5 Å³ per atom

Structure (extended XYZ):
```
4
Lattice="5.730 0.063 0.000 -1.715 5.468 0.000 0.000 0.000 3.625" Properties=species:S:1:pos:R:3 pbc="T T T"
Sr 0.000 0.000 0.000
Sr 2.008 2.766 0.000
Zr 2.865 0.032 1.813
Ni -0.858 2.734 1.813
```

=====

A relaxed structure of Hf2Be2NbCo5. Source: Alexandria, functional PBE.

Values from the calculation:
DFT formation energy   -0.420 eV per atom
E   -7.7157 eV per atom
V   12.5 Å³ per atom

Structure (extended XYZ):
```
20
Lattice="3.223 0.000 0.000 0.000 8.797 0.000 0.000 0.000 8.797" Properties=species:S:1:pos:R:3 pbc="T T T"
Nb 0.000 4.398 4.398
Nb 0.000 0.000 0.000
Hf 0.000 2.859 7.258
Hf 0.000 5.938 1.539
Hf 0.000 7.258 5.938
Hf 0.000 1.539 2.859
Co 1.612 2.497 5.005
Co 1.612 8.190 1.901
Co 1.612 4.398 0.000
Co 1.612 5.005 6.300
Co 1.612 0.000 4.398
Co 1.612 0.607 6.896
Co 1.612 3.791 2.497
Co 1.612 1.901 0.607
Co 1.612 6.896 8.190
Co 1.612 6.300 3.791
Be 0.000 1.039 5.438
Be 0.000 5.438 7.758
Be 0.000 7.758 3.359
Be 0.000 3.359 1.039
```

=====

A relaxed structure of Li3TbBi2S6. Source: Alexandria, functional PBE.

Values from the calculation:
E   -4.6815 eV per atom
V   21.4 Å³ per atom
Formation energy from raw total energies   -1.107 eV per atom

Structure (extended XYZ):
```
12
Lattice="6.883 -0.006 0.002 -3.445 5.959 0.002 -1.146 -1.985 6.273" Properties=species:S:1:pos:R:3 pbc="T T T"
S 0.044 3.971 4.653
S 3.417 2.023 4.653
S -1.125 1.946 1.623
S 2.311 4.002 1.617
S -0.019 -0.033 4.660
S 2.248 -0.002 1.623
Li 4.486 0.055 3.138
Li 1.146 1.984 3.138
Li -2.194 3.914 3.138
Tb 0.000 0.000 0.000
Bi 3.430 1.989 0.002
Bi 0.008 3.965 0.002
```

=====

A relaxed structure of Ho5Tl4Ir. Source: Alexandria, functional PBE.

Values from the calculation:
DFT formation energy   -0.296 eV per atom
E   -4.4173 eV per atom
Excess energy over the best structure of this formula in the dataset   1.558 eV per formula unit
V   28.7 Å³ per atom

Structure (extended XYZ):
```
10
Lattice="5.702 0.000 0.000 2.851 7.093 0.000 2.851 0.000 7.093" Properties=species:S:1:pos:R:3 pbc="T T T"
Tl 5.708 2.776 4.981
Tl 8.559 4.981 4.317
Tl 5.708 4.317 2.112
Tl 2.857 2.112 2.776
Ho 5.708 0.663 2.569
Ho 2.857 0.000 0.000
Ho 5.708 6.430 4.524
Ho 8.559 2.569 6.430
Ho 2.857 4.524 0.663
Ir 0.006 0.000 0.000
```

=====

A relaxed structure of ZrHgO2. Source: Alexandria, functional PBE.

Values from the calculation:
E   -6.9960 eV per atom
V   24.1 Å³ per atom
Formation energy from raw total energies   -2.304 eV per atom

Structure (extended XYZ):
```
8
Lattice="-3.192 -3.283 -4.595 2.394 -5.567 2.314 -4.012 -4.819 1.650" Properties=species:S:1:pos:R:3 pbc="T T T"
O -4.306 -9.963 -1.338
O -2.708 -8.327 0.962
O -0.705 -5.917 0.134
O -1.899 -3.130 -1.019
Zr -1.008 -7.405 1.412
Zr -0.399 -4.425 -1.141
Hg 0.000 0.000 0.000
Hg -3.801 -6.263 -2.043
```

=====

A relaxed structure of PmZnNi2. Source: Alexandria, functional PBE.

Values from the calculation:
DFT formation energy   -0.365 eV per atom
E   -4.7623 eV per atom
V   17.5 Å³ per atom

Structure (extended XYZ):
```
4
Lattice="4.173 0.000 0.000 2.086 3.614 0.000 2.086 1.205 4.640" Properties=species:S:1:pos:R:3 pbc="T T T"
Ni 2.086 1.205 1.851
Ni 6.259 3.614 2.789
Zn 4.173 2.409 2.320
Pm 0.000 0.000 0.000
```

=====

A relaxed structure of K2TaCd. Source: Alexandria, functional PBE.

Values from the calculation:
DFT formation energy   1.043 eV per atom
E   -2.6975 eV per atom
V   29.1 Å³ per atom

Structure (extended XYZ):
```
4
Lattice="6.933 0.014 0.000 -3.929 5.712 0.000 0.000 0.000 2.939" Properties=species:S:1:pos:R:3 pbc="T T T"
Ta 3.467 0.007 1.470
K 0.000 0.000 0.000
K 1.502 2.863 0.000
Cd -1.965 2.856 1.470
```

=====

A relaxed structure of ZrAs2F. Source: Alexandria, functional PBE.

Values from the calculation:
E   -5.7864 eV per atom
Excess energy over the best structure of this formula in the dataset   0.000 eV per formula unit
V   17.6 Å³ per atom
Formation energy from raw total energies   -0.857 eV per atom

Structure (extended XYZ):
```
8
Lattice="3.734 0.000 0.000 0.000 3.734 0.000 1.867 1.867 10.092" Properties=species:S:1:pos:R:3 pbc="T T T"
As 0.882 2.800 2.523
As 2.800 2.749 7.569
As 4.667 4.719 7.569
As 2.852 0.933 2.523
F 1.867 3.734 5.046
F 1.867 1.867 0.000
Zr 0.000 0.000 0.000
Zr 3.734 1.867 5.046
```